Record 1
Crystalline Ac3B2IrN6 at its relaxed geometry, computed with PBE.

It has space group P-3m1 (No. 164), with a = 5.4866 Å, b = 5.4866 Å, c = 6.7291 Å, α = 90.00°, β = 90.00° and γ = 120.00°. The inequivalent atoms are Ac at (0.0000, 0.0000, 0.0000), Ac at (0.3333, 0.6667, 0.6754), B at (0.3333, 0.6667, 0.2846), Ir at (0.0000, 0.0000, 0.5000) and N at (0.1778, 0.3555, 0.2903).

The calculated density is 9.3 g/cm³. Its total energy is -93.641 eV/cell. The calculation puts the size of the total moment at 0.00 μB per formula unit.

Record 2
Crystalline AcBIrN at its relaxed geometry, computed with PBE.

It has space group P4/nmm (No. 129, origin choice 2), with a = 3.968 Å, b = 3.968 Å, c = 7.779 Å, α = 90.00°, β = 90.00° and γ = 90.00°. The inequivalent atoms are Ac at (0.250, 0.250, 0.176), B at (0.250, 0.250, 0.641), Ir at (0.250, 0.750, 0.500) and N at (0.250, 0.250, 0.833).

The calculated density is 12.0 g/cm³. Its total energy is -63.996 eV/cell. The calculation puts the size of the total moment at 0.00 μB per formula unit.

Record 3
Crystalline Ac2NiB12Ir3 at its relaxed geometry, computed with PBE.

It has space group R-3m (No. 166, hexagonal axes), with a = 8.0862 Å, b = 8.0862 Å, c = 11.6081 Å, α = 90.00°, β = 90.00° and γ = 120.00°. The inequivalent atoms are Ac at (0.0000, 0.0000, 0.1886), Ni at (0.0000, 0.0000, 0.5000), B at (0.0618, 0.5309, 0.1979), B at (0.0720, 0.5360, 0.6851) and Ir at (0.0000, 0.5000, 0.0000).

The calculated density is 9.2 g/cm³. The calculation puts the energy relative to the elements at 0.281 eV per atom. The calculation puts the size of the total moment at 0.00 μB per formula unit.

Record 4
Crystalline AcB2IrO8 at its relaxed geometry, computed with PBE.

It has space group C2/m (No. 12), with a = 7.738 Å, b = 4.993 Å, c = 7.379 Å, α = 90.00°, β = 94.88° and γ = 90.00°. The inequivalent atoms are Ac at (0.000, 0.000, 0.000), B at (0.131, 0.500, 0.289), Ir at (0.000, 0.000, 0.500), O at (0.018, 0.260, 0.307), O at (0.193, 0.500, 0.114) and O at (0.241, 0.000, 0.549).

The calculated density is 6.7 g/cm³. Its total energy is -177.169 eV/cell. The calculation puts the size of the total moment at 0.00 μB per formula unit.

Record 5
Crystalline AcBIrO5 at its relaxed geometry, computed with PBE.

It has space group C2/c (No. 15), with a = 6.532 Å, b = 9.029 Å, c = 7.032 Å, α = 90.00°, β = 113.18° and γ = 90.00°. The inequivalent atoms are Ac at (0.000, 0.146, 0.250), B at (0.000, 0.198, 0.750), Ir at (0.000, 0.500, 0.000), O at (0.000, 0.421, 0.250), O at (0.098, 0.286, 0.630) and O at (0.172, 0.092, 0.912).

The calculated density is 8.9 g/cm³. Its total energy is -242.950 eV/cell. The calculation puts the size of the total moment at 0.33 μB per formula unit.

Record 6
Crystalline Ac2B12Ir3Os at its relaxed geometry, computed with PBE.

It has space group R-3m (No. 166, hexagonal axes), with a = 6.0366 Å, b = 6.0366 Å, c = 22.0477 Å, α = 90.00°, β = 90.00° and γ = 120.00°. The inequivalent atoms are Ac at (0.0000, 0.0000, 0.1266), B at (0.0320, 0.5160, 0.1008), B at (0.0963, 0.1925, 0.7405), Ir at (0.0000, 0.5000, 0.0000) and Os at (0.0000, 0.0000, 0.5000).

The calculated density is 9.7 g/cm³. The calculation puts the energy relative to the elements at 0.075 eV per atom. The calculation puts the size of the total moment at 0.00 μB per formula unit.